1.
# Cr3GeP

A PBEsol-optimized structure of Cr3GeP (SCAN, Alexandria).

The uncorrected energy comes out at -16.3495 eV/atom. For the formation energy from the elements, the calculation gives 0.58 eV/atom. The value obtained for the volume is 69.9 Å³ per cell.

CIF file:
```
data_Cr3GeP
_chemical_formula_sum 'Cr3 Ge1 P1'
_cell_length_a 4.120
_cell_length_b 4.120
_cell_length_c 4.120
_cell_angle_alpha 90.00
_cell_angle_beta 90.00
_cell_angle_gamma 90.00
_symmetry_space_group_name_H-M 'P m -3 m'
_symmetry_Int_Tables_number 221
_symmetry_space_group_name_Hall '-P 4 2 3'
loop_
_atom_site_label
_atom_site_type_symbol
_atom_site_fract_x
_atom_site_fract_y
_atom_site_fract_z
Cr1 Cr 0.000 0.000 0.500
Ge1 Ge 0.500 0.500 0.500
P1 P 0.000 0.000 0.000
```


2.
# Na3Ga

A PBEsol-optimized structure of Na3Ga (SCAN, Alexandria).

The uncorrected energy comes out at -7.2152 eV/atom. For the formation energy from the elements, the calculation gives 0.03 eV/atom. The value obtained for the volume is 421.5 Å³ per cell.

CIF file:
```
data_Na3Ga
_chemical_formula_sum 'Na12 Ga4'
_cell_length_a 7.498
_cell_length_b 7.498
_cell_length_c 7.498
_cell_angle_alpha 90.00
_cell_angle_beta 90.00
_cell_angle_gamma 90.00
_symmetry_space_group_name_H-M 'F m -3 m'
_symmetry_Int_Tables_number 225
_symmetry_space_group_name_Hall '-F 4 2 3'
loop_
_atom_site_label
_atom_site_type_symbol
_atom_site_fract_x
_atom_site_fract_y
_atom_site_fract_z
Na1 Na 0.000 0.000 0.000
Na2 Na 0.250 0.250 0.250
Ga1 Ga 0.000 0.000 0.500
```


3.
# Al2InSe

A PBEsol-optimized structure of Al2InSe (SCAN, Alexandria).

The uncorrected energy comes out at -17.1938 eV/atom. The value obtained for the raw formation energy is 19 kJ/mol of formula units. The value obtained for the volume is 79.1 Å³ per cell.

CIF file:
```
data_Al2InSe
_chemical_formula_sum 'Al2 In1 Se1'
_cell_length_a 3.337
_cell_length_b 3.337
_cell_length_c 7.108
_cell_angle_alpha 90.00
_cell_angle_beta 90.00
_cell_angle_gamma 90.00
_symmetry_space_group_name_H-M 'P 4/m m m'
_symmetry_Int_Tables_number 123
_symmetry_space_group_name_Hall '-P 4 2'
loop_
_atom_site_label
_atom_site_type_symbol
_atom_site_fract_x
_atom_site_fract_y
_atom_site_fract_z
Al1 Al 0.000 0.000 0.215
In1 In 0.500 0.500 0.500
Se1 Se 0.500 0.500 0.000
```